A) The following is a DFT calculation (PBE) of a relaxed K2LaC2 crystal.

- SG: I4/mmm (139)
- Calculated density: 3.51 g/cm3

Lattice parameters (Å, degrees): 5.0140 5.0140 5.7534 64.17 64.17 90.00
Closest atoms and distances in Å follow each position.
Atoms (fractional coordinates):
1 K 0.6471 0.6471 0.7058  1 K 2.67, 4 C 2.67
2 C 0.2500 0.7500 0.5000  4 K 2.67
3 La 0.0000 0.0000 0.0000  2 K 3.20, 8 C 3.38
4 K 0.3529 0.3529 0.2942  1 K 2.67, 4 C 2.67
5 C 0.7500 0.2500 0.5000  4 K 2.67

***

B) The following is a DFT calculation (PBE) of a relaxed K2LaC2 crystal.

- SG: P4/mbm (127)
- Calculated density: 3.84 g/cm3

Lattice parameters (Å, degrees): 8.0021 8.0021 3.2573 90.00 90.00 90.00
Closest atoms and distances in Å follow each position.
Atoms (fractional coordinates):
1 K 0.6194 0.1194 0.0000  1 K 2.70, 6 C 2.70-3.02
2 La 0.0000 0.0000 0.0000  4 K 3.19, 2 La 3.26, 8 C 3.33
3 K 0.8806 0.6194 0.0000  1 K 2.70, 6 C 2.70-3.02
4 C 0.8101 0.3101 0.5000  6 K 2.70-3.02
5 K 0.3806 0.8806 0.0000  1 K 2.70, 6 C 2.70-3.02
6 K 0.1194 0.3806 0.0000  1 K 2.70, 6 C 2.70-3.02
7 C 0.1899 0.6899 0.5000  6 K 2.70-3.02
8 C 0.3101 0.1899 0.5000  6 K 2.70-3.02
9 C 0.6899 0.8101 0.5000  6 K 2.70-3.02
10 La 0.5000 0.5000 0.0000  4 K 3.19, 2 La 3.26, 8 C 3.33

***

B) ends up most stable, edging out the next structure by 0.147 eV/atom.